# 1
A plane-wave DFT calculation with PBE was carried out for a geometry-optimized ZnSb2Se2 structure. Values from VASP.

Structure (Quantum ESPRESSO input):
```
&SYSTEM
  ibrav = 0, nat = 5, ntyp = 3
/
ATOMIC_SPECIES
Zn 65.41 Zn.upf
Sb 121.76 Sb.upf
Se 78.96 Se.upf
ATOMIC_POSITIONS crystal
Zn 0.000 0.000 0.000
Sb 0.250 0.750 0.500
Sb 0.750 0.250 0.500
Se 0.337 0.337 0.000
Se 0.663 0.663 0.000
CELL_PARAMETERS angstrom
-2.694 2.694 5.332
2.694 -2.694 5.332
2.694 2.694 -5.332
```

Values from the calculation:
* crystal system: tetragonal
* relative energy among the computed polymorphs: 260 meV/atom
* VASP energy: -15.1 eV/f.u.
* uncorrected formation energy: 0.2703 eV/atom

=====

# 2
A plane-wave DFT calculation with PBE was carried out for a geometry-optimized ZnSbSe2 structure. Values from VASP.

Structure (Quantum ESPRESSO input):
```
&SYSTEM
  ibrav = 0, nat = 4, ntyp = 3
/
ATOMIC_SPECIES
Zn 65.41 Zn.upf
Sb 121.76 Sb.upf
Se 78.96 Se.upf
ATOMIC_POSITIONS crystal
Zn 0.000 0.000 0.000
Sb 0.500 0.500 0.500
Se 0.254 0.254 0.770
Se 0.746 0.746 0.230
CELL_PARAMETERS angstrom
3.505 -2.022 0.000
3.505 2.022 0.000
-2.305 0.000 6.605
```

Values from the calculation:
* crystal system: monoclinic
* relative energy among the computed polymorphs: 43 meV/atom
* VASP energy: -13.1 eV/f.u.
* uncorrected formation energy: -0.1929 eV/atom